5
Lattice="3.9514 0.0000 0.0000 0.0000 3.9514 0.0000 0.0000 0.0000 4.5347" Properties=species:S:1:pos:R:3 comment="CaMnBe2O (PBE+U, relaxed)" total_energy_ev_per_cell=-22.33 total_magnetization_mub_per_cell=4.13 n_ef_per_ev_cell=1.99 vol_a3_per_cell=70.8 pbc="T T T"
Ca 0.0000 0.0000 0.0000
Mn 1.9757 1.9757 0.0000
Be 0.0000 1.9757 2.2674
Be 1.9757 0.0000 2.2674
O 0.0000 0.0000 2.2674